## La2Co2I (meta-GGA SCAN)

Data for La2Co2I at its PBEsol-relaxed geometry.

The structure in POSCAR format:
```
La2Co2I
1.0
3.972 0.000 0.000
-1.986 3.440 0.000
0.000 0.000 17.663
I Co La
2 4 4
direct
0.333 0.667 0.250 I
0.667 0.333 0.750 I
0.667 0.333 0.501 Co
0.333 0.667 0.001 Co
0.333 0.667 0.499 Co
0.667 0.333 0.999 Co
0.000 0.000 0.395 La
0.000 0.000 0.895 La
0.000 0.000 0.605 La
0.000 0.000 0.105 La
```

Computed properties:
Total magnetic moment: 0.16 μB/f.u.
E_form (uncorrected): -0.56 eV/atom